VASP calculation (PBE+U) on an optimized crystal structure of PaFe2HgO8.

Cell lengths 6.0296, 6.0296, 6.0296 Å; angles 107.65, 107.65, 113.17 degrees
With the nearest neighbours (Å) after each atom.
Atoms (fractional coordinates):
Pa 0.0000 0.0000 0.0000  8 O 2.18-2.41
Fe 0.5000 0.5000 0.0000  4 O 1.76
Fe 0.7500 0.2500 0.5000  4 O 1.86
Hg 0.2500 0.7500 0.5000  8 O 2.36-2.56
O 0.3114 0.1374 0.8260  1 Fe 1.76
O 0.3114 0.4854 0.1740  1 Fe 1.76
O 0.3690 0.0697 0.2993  1 Fe 1.86
O 0.5146 0.6886 0.8260  1 Fe 1.76
O 0.7704 0.0697 0.7007  1 Fe 1.86
O 0.8626 0.6886 0.1740  1 Fe 1.76
O 0.9303 0.2296 0.2993  1 Fe 1.86
O 0.9303 0.6310 0.7007  1 Fe 1.86

VASP energy: -6.467 eV per atom
Crystal system: tetragonal
Calculated density: 6.63 g cm⁻³
V: 14.018 Å³/atom
Total magnetization: 7.0 μB/f.u.